Here is a relaxed Dy2TcAu crystal from Alexandria. Energies are from PBE.

Cell lengths 3.4851, 3.4851, 7.1451 Å; angles 90.00, 90.00, 90.00 degrees
With the nearest neighbours (Å) after each atom.
Space group P4/mmm (No. 123)
One atom of each set of equivalent atoms:
Dy (0.0000, 0.0000, 0.2302)  4 Tc 2.96, 4 Au 3.13, 1 Dy 3.29
Tc (0.5000, 0.5000, 0.0000)  8 Dy 2.96
Au (0.5000, 0.5000, 0.5000)  8 Dy 3.13, 4 Au 3.49

Values from the calculation:
DFT total energy = -24.60 eV/cell
Size of the total moment = 0.000 μB/atom

---

Here is a relaxed Dy4TcAu crystal from Alexandria. Energies are from PBE.

Cell lengths 6.3791, 7.4577, 7.8737 Å; angles 111.08, 101.83, 105.80 degrees
With the nearest neighbours (Å) after each atom.
Space group P-1 (No. 2)
One atom of each set of equivalent atoms:
Dy (0.0263, 0.3625, 0.2321)  2 Tc 2.86-2.90, 1 Au 3.04
Dy (0.1874, 0.8520, 0.2699)  2 Tc 2.88-2.99, 2 Au 3.08-3.11
Dy (0.3650, 0.3684, 0.6499)  2 Tc 2.90-2.92, 2 Au 3.08-3.11
Dy (0.3672, 0.1582, 0.9671)  2 Tc 2.83-2.86, 2 Au 3.13-3.16
Tc (0.2528, 0.5071, 0.0013)  8 Dy 2.83-2.99
Au (0.3636, 0.7730, 0.6200)  8 Dy 3.04-3.21

Values from the calculation:
DFT total energy = -68.59 eV/cell
Size of the total moment = 0.000 μB/atom

---

Here is a relaxed DyYTcAu crystal from Alexandria. Energies are from PBE.

Cell lengths 7.0143, 7.0143, 7.0143 Å; angles 90.00, 90.00, 90.00 degrees
With the nearest neighbours (Å) after each atom.
Space group F-43m (No. 216)
One atom of each set of equivalent atoms:
Dy (0.0000, 0.0000, 0.0000)  4 Tc 3.04, 4 Au 3.04
Y (0.0000, 0.0000, 0.5000)  4 Tc 3.04, 4 Au 3.04
Tc (0.2500, 0.2500, 0.2500)  4 Dy 3.04, 4 Y 3.04
Au (0.2500, 0.2500, 0.7500)  4 Dy 3.04, 4 Y 3.04

Values from the calculation:
DFT total energy = -104.45 eV/cell
Size of the total moment = 0.000 μB/atom

---

Here is a relaxed Dy4TeAu crystal from Alexandria. Energies are from PBE.

Cell lengths 8.3991, 3.9451, 19.7359 Å; angles 90.00, 90.00, 90.00 degrees
With the nearest neighbours (Å) after each atom.
Space group Pnma (No. 62)
One atom of each set of equivalent atoms:
Dy (0.0154, 0.2500, 0.2180)  4 Te 3.20-3.25, 4 Dy 3.50-3.54
Dy (0.0232, 0.2500, 0.9279)  3 Au 3.02-3.03, 1 Te 3.16
Dy (0.1200, 0.2500, 0.4405)  3 Au 3.13-3.16, 2 Te 3.30
Dy (0.1610, 0.2500, 0.6535)  2 Au 2.96, 2 Te 3.24-3.31
Te (0.2161, 0.7500, 0.3126)  9 Dy 3.16-3.31
Au (0.2442, 0.2500, 0.0491)  8 Dy 2.96-3.16

Values from the calculation:
E_form (uncorrected) = -0.733 eV per atom
DFT total energy = -116.90 eV/cell
Size of the total moment = 0.000 μB/atom
Relative energy among the computed polymorphs = 0.0 meV/atom

---

Here is a relaxed Dy2TeAu crystal from Alexandria. Energies are from PBE.

Cell lengths 4.1489, 4.1489, 22.4898 Å; angles 90.00, 90.00, 120.00 degrees
With the nearest neighbours (Å) after each atom.
Space group R-3m (No. 166, hexagonal axes)
One atom of each set of equivalent atoms:
Dy (0.0000, 0.0000, 0.2430)  3 Au 2.95, 3 Te 3.14
Te (0.0000, 0.0000, 0.0000)  6 Dy 3.14
Au (0.0000, 0.0000, 0.5000)  6 Dy 2.95

Values from the calculation:
E_form (uncorrected) = -1.049 eV per atom
DFT total energy = -59.46 eV/cell
Size of the total moment = 0.000 μB/atom
Relative energy among the computed polymorphs = 35.9 meV/atom

---

Here is a relaxed DyTe2Au crystal from Alexandria. Energies are from PBE.

Cell lengths 4.2769, 4.2769, 21.5605 Å; angles 90.00, 90.00, 120.00 degrees
With the nearest neighbours (Å) after each atom.
Space group R3m (No. 160, hexagonal axes)
One atom of each set of equivalent atoms:
Dy (0.0000, 0.0000, 0.0000)  6 Te 3.08-3.15
Te (0.0000, 0.0000, 0.5757)  3 Au 3.03, 3 Dy 3.15
Te (0.0000, 0.0000, 0.7520)  3 Au 2.96, 3 Dy 3.08
Au (0.0000, 0.0000, 0.1611)  6 Te 2.96-3.03

Values from the calculation:
E_form (uncorrected) = -0.665 eV per atom
DFT total energy = -50.47 eV/cell
Size of the total moment = 0.000 μB/atom

---

Number 1: DOS(E_F) 0.71 states/eV/atom. Number 2: DOS(E_F) 0.83 states/eV/atom. Number 3: DOS(E_F) 0.42 states/eV/atom. Number 4: DOS(E_F) 1.14 states/eV/atom. Number 5: DOS(E_F) 0.75 states/eV/atom. Number 6: DOS(E_F) 0.01 states/eV/atom.